Na3Cd4Pd2 | PBE-GGA | optimized geometry

Values from the calculation:
total DFT energy (no corrections): -2.19 eV/atom
excess energy over the best structure of this formula in the dataset: 0.0367 eV per atom

```
data_Na3Cd4Pd2
_symmetry_space_group_name_H-M 'C 1 2/m 1'
_symmetry_Int_Tables_number 12
_symmetry_space_group_name_Hall '-C 2y'
_cell_length_a 8.3686
_cell_length_b 4.8168
_cell_length_c 9.1334
_cell_angle_alpha 90.00
_cell_angle_beta 90.25
_cell_angle_gamma 90.00
loop_
_atom_site_label
_atom_site_type_symbol
_atom_site_fract_x
_atom_site_fract_y
_atom_site_fract_z
_atom_site_occupancy
Na1 Na 0.0000 0.0000 0.0000 1
Na2 Na 0.1667 0.5000 0.5419 1
Cd1 Cd 0.9999 0.0000 0.3192 1
Cd2 Cd 0.1666 0.5000 0.8774 1
Pd1 Pd 0.1668 0.5000 0.2041 1
```